An optimized crystal structure of KSc2Re, computed with PBE-GGA.

The energy comes out at -6.17 eV per atom. The density of states at the Fermi level is 0.819 states/eV per atom.

Lattice parameters (Å, degrees): 3.3041 3.3041 32.7737 90.00 90.00 120.00
Last column: nearest neighbours and their distance in Å.
Space group R-3m (No. 166, hexagonal axes)
Symmetry-distinct sites (fractional):
K1 0.0000 0.0000 0.0000 (multiplicity 3)  6 K 3.30
Sc1 0.0000 0.0000 0.2260 (multiplicity 6)  3 Re 2.72
Re1 0.0000 0.0000 0.5000 (multiplicity 3)  6 Sc 2.72